VASP calculation (PBE) on a relaxed Na3FeHg crystal.

Density in Mg/m³: 3.0
Energy above the lowest structure with this stoichiometry in meV/atom: 0
Total magnetic moment in μB per atom: 0.6692
Total DFT energy (no corrections) in eV per atom: -1.842
E_form in eV per atom: 0.70

Cell: 5.6606 5.6606 5.6606 Å, 90.00 90.00 90.00°
Closest atoms and distances in Å follow each position.
Element x y z (fractional)
Na  0.0000  0.5000  0.0000  2 Fe 2.83
Na  0.0000  0.0000  0.5000  2 Fe 2.83
Na  0.5000  0.0000  0.0000  2 Fe 2.83
Hg  0.5000  0.5000  0.5000  12 Na 4.00
Fe  0.0000  0.0000  0.0000  6 Na 2.83

=====

VASP calculation (PBE) on a relaxed NaFe3Hg crystal.

Density in Mg/m³: 7.2
Energy above the lowest structure with this stoichiometry in meV/atom: 350
Total magnetic moment in μB per atom: 1.6322
Total DFT energy (no corrections) in eV per atom: -3.659
E_form in eV per atom: 1.74

Cell: 4.4893 4.4893 4.4893 Å, 90.00 90.00 90.00°
Closest atoms and distances in Å follow each position.
Element x y z (fractional)
Na  0.0000  0.0000  0.0000  6 Fe 2.24
Hg  0.5000  0.5000  0.5000  12 Fe 3.17
Fe  0.0000  0.5000  0.0000  2 Na 2.24
Fe  0.0000  0.0000  0.5000  2 Na 2.24
Fe  0.5000  0.0000  0.0000  2 Na 2.24

=====

VASP calculation (PBE) on a relaxed NaFe3Hg crystal.

Density in Mg/m³: 5.3
Energy above the lowest structure with this stoichiometry in meV/atom: 0
Total magnetic moment in μB per atom: 1.8834
Total DFT energy (no corrections) in eV per atom: -4.009
E_form in eV per atom: 1.39

Cell: 4.9669 4.9669 4.9669 Å, 90.00 90.00 90.00°
Closest atoms and distances in Å follow each position.
Element x y z (fractional)
Na  0.5000  0.5000  0.5000  12 Fe 3.51
Hg  0.0000  0.0000  0.0000  6 Fe 2.48
Fe  0.0000  0.5000  0.0000  2 Hg 2.48
Fe  0.0000  0.0000  0.5000  2 Hg 2.48
Fe  0.5000  0.0000  0.0000  2 Hg 2.48

=====

VASP calculation (PBE) on a relaxed Na3FeHg crystal.

Density in Mg/m³: 3.0
Energy above the lowest structure with this stoichiometry in meV/atom: 70
Total magnetic moment in μB per atom: 0.6602
Total DFT energy (no corrections) in eV per atom: -1.771
E_form in eV per atom: 0.77

Cell: 5.6275 5.6275 5.6275 Å, 90.00 90.00 90.00°
Closest atoms and distances in Å follow each position.
Element x y z (fractional)
Na  0.0000  0.5000  0.0000  2 Hg 2.81
Na  0.0000  0.0000  0.5000  2 Hg 2.81
Na  0.5000  0.0000  0.0000  2 Hg 2.81
Hg  0.0000  0.0000  0.0000  6 Na 2.81
Fe  0.5000  0.5000  0.5000  12 Na 3.98

=====

VASP calculation (PBE) on a relaxed NaFeHg2 crystal.

Density in Mg/m³: 7.5
Energy above the lowest structure with this stoichiometry in meV/atom: 196
Total magnetic moment in μB per atom: 0.6928
Total DFT energy (no corrections) in eV per atom: -2.112
E_form in eV per atom: 0.48

Cell: 4.8742 4.8742 9.5728 Å, 75.25 75.25 90.00°
Closest atoms and distances in Å follow each position.
Element x y z (fractional)
Na  0.5000  0.5000  0.0000  4 Hg 2.98
Na  0.2500  0.7500  0.5000  4 Hg 2.98
Hg  0.6939  0.1250  0.2500  2 Fe 2.69, 2 Na 2.98, 2 Hg 3.01
Hg  0.0561  0.6250  0.2500  2 Fe 2.69, 2 Na 2.98, 2 Hg 3.01
Hg  0.3750  0.3061  0.7500  2 Fe 2.69, 2 Na 2.98, 2 Hg 3.01
Hg  0.8750  0.9439  0.7500  2 Fe 2.69, 2 Na 2.98, 2 Hg 3.01
Fe  0.0000  0.0000  0.0000  4 Hg 2.69
Fe  0.7500  0.2500  0.5000  4 Hg 2.69

=====

VASP calculation (PBE) on a relaxed NaFeHg2 crystal.

Density in Mg/m³: 9.9
Energy above the lowest structure with this stoichiometry in meV/atom: 0
Total magnetic moment in μB per atom: 0.7430
Total DFT energy (no corrections) in eV per atom: -2.308
E_form in eV per atom: 0.29

Cell: 4.8407 4.8407 4.8407 Å, 60.00 60.00 60.00°
Closest atoms and distances in Å follow each position.
Element x y z (fractional)
Na  0.0000  0.0000  0.0000  8 Hg 2.96
Hg  0.2500  0.2500  0.2500  4 Fe 2.96, 4 Na 2.96
Hg  0.7500  0.7500  0.7500  4 Na 2.96, 4 Fe 2.96
Fe  0.5000  0.5000  0.5000  8 Hg 2.96

=====

VASP calculation (PBE) on a relaxed Na2FeHgPb crystal.

Density in Mg/m³: 5.7
Total magnetic moment in μB per atom: 0.6052
Total DFT energy (no corrections) in eV per atom: -2.461
E_form in eV per atom: 0.56

Cell: 5.4361 5.0614 5.4361 Å, 90.00 90.00 90.00°
Closest atoms and distances in Å follow each position.
Element x y z (fractional)
Pb  0.5000  0.5000  0.5000  8 Na 3.71, 4 Fe 3.84
Na  0.0000  0.0000  0.5000  2 Hg 2.72
Na  0.5000  0.0000  0.0000  2 Hg 2.72
Hg  0.0000  0.0000  0.0000  2 Fe 2.53, 4 Na 2.72
Fe  0.0000  0.5000  0.0000  2 Hg 2.53

=====

VASP calculation (PBE) on a relaxed Na2FeHgPt crystal.

Density in Mg/m³: 5.8
Total magnetic moment in μB per atom: 0.6448
Total DFT energy (no corrections) in eV per atom: -2.958
E_form in eV per atom: 0.53

Cell: 5.5253 4.6277 5.5253 Å, 90.00 90.00 90.00°
Closest atoms and distances in Å follow each position.
Element x y z (fractional)
Na  0.0000  0.0000  0.5000  2 Fe 2.76
Na  0.5000  0.0000  0.0000  2 Fe 2.76
Hg  0.5000  0.5000  0.5000  8 Na 3.60, 4 Pt 3.91
Pt  0.0000  0.5000  0.0000  2 Fe 2.31
Fe  0.0000  0.0000  0.0000  2 Pt 2.31

=====

VASP calculation (PBE) on a relaxed NaScFe2Hg crystal.

Density in Mg/m³: 5.3
Total magnetic moment in μB per atom: 0.8750
Total DFT energy (no corrections) in eV per atom: -4.040
E_form in eV per atom: 0.94

Cell: 4.6498 5.5531 4.6498 Å, 90.00 90.00 90.00°
Closest atoms and distances in Å follow each position.
Element x y z (fractional)
Sc  0.0000  0.0000  0.0000  4 Fe 2.32
Na  0.5000  0.5000  0.5000  4 Hg 3.29, 8 Fe 3.62
Hg  0.0000  0.5000  0.0000  2 Sc 2.78
Fe  0.0000  0.0000  0.5000  2 Sc 2.32
Fe  0.5000  0.0000  0.0000  2 Sc 2.32

=====

VASP calculation (PBE) on a relaxed NaFeSn2Hg crystal.

Density in Mg/m³: 6.8
Total magnetic moment in μB per atom: 0.2251
Total DFT energy (no corrections) in eV per atom: -3.564
E_form in eV per atom: 0.05

Cell: 4.9045 4.9045 5.2298 Å, 90.00 90.00 90.00°
Closest atoms and distances in Å follow each position.
Element x y z (fractional)
Fe  0.0000  0.0000  0.0000  4 Sn 2.45, 2 Hg 2.61
Na  0.5000  0.5000  0.5000  4 Hg 3.47, 8 Sn 3.58
Hg  0.0000  0.0000  0.5000  2 Fe 2.61
Sn  0.0000  0.5000  0.0000  2 Fe 2.45
Sn  0.5000  0.0000  0.0000  2 Fe 2.45

=====

VASP calculation (PBE) on a relaxed NaFe2TcHg crystal.

Density in Mg/m³: 7.7
Total magnetic moment in μB per atom: 1.5434
Total DFT energy (no corrections) in eV per atom: -3.841
E_form in eV per atom: 1.94

Cell: 4.4434 4.7020 4.4434 Å, 90.00 90.00 90.00°
Closest atoms and distances in Å follow each position.
Element x y z (fractional)
Fe  0.0000  0.0000  0.5000  2 Na 2.22
Fe  0.5000  0.0000  0.0000  2 Na 2.22
Na  0.0000  0.0000  0.0000  4 Fe 2.22, 2 Tc 2.35
Hg  0.5000  0.5000  0.5000  4 Tc 3.14, 8 Fe 3.23
Tc  0.0000  0.5000  0.0000  2 Na 2.35

=====

VASP calculation (PBE) on a relaxed NaTl2FeHg crystal.

Density in Mg/m³: 7.0
Total magnetic moment in μB per atom: 0.6437
Total DFT energy (no corrections) in eV per atom: -1.986
E_form in eV per atom: 0.98

Cell: 5.5625 5.5625 5.2890 Å, 90.00 90.00 90.00°
Closest atoms and distances in Å follow each position.
Element x y z (fractional)
Na  0.0000  0.0000  0.0000  2 Hg 2.64, 4 Tl 2.78
Tl  0.0000  0.5000  0.0000  2 Na 2.78
Tl  0.5000  0.0000  0.0000  2 Na 2.78
Hg  0.0000  0.0000  0.5000  2 Na 2.64
Fe  0.5000  0.5000  0.5000  8 Tl 3.84, 4 Hg 3.93

=====

VASP calculation (PBE) on a relaxed NaFeHgW2 crystal.

Density in Mg/m³: 11.7
Energy above the lowest structure with this stoichiometry in meV/atom: 1225
Total magnetic moment in μB per atom: 0.4426
Total DFT energy (no corrections) in eV per atom: -4.553
E_form in eV per atom: 2.65

Cell: 4.6449 4.2698 4.6449 Å, 90.00 90.00 90.00°
Closest atoms and distances in Å follow each position.
Element x y z (fractional)
Na  0.0000  0.0000  0.0000  2 Fe 2.13, 4 W 2.32
Hg  0.5000  0.5000  0.5000  8 W 3.15, 4 Fe 3.28
W  0.0000  0.0000  0.5000  2 Na 2.32
W  0.5000  0.0000  0.0000  2 Na 2.32
Fe  0.0000  0.5000  0.0000  2 Na 2.13

=====

VASP calculation (PBE) on a relaxed NaFeHgW2 crystal.

Density in Mg/m³: 10.8
Energy above the lowest structure with this stoichiometry in meV/atom: 0
Total magnetic moment in μB per atom: 0.0000
Total DFT energy (no corrections) in eV per atom: -5.778
E_form in eV per atom: 1.42

Cell: 4.4616 5.0194 4.4616 Å, 90.00 90.00 90.00°
Closest atoms and distances in Å follow each position.
Element x y z (fractional)
Na  0.0000  0.5000  0.0000  2 Fe 2.51
Hg  0.5000  0.5000  0.5000  4 Na 3.15, 8 W 3.36
W  0.0000  0.0000  0.5000  2 Fe 2.23
W  0.5000  0.0000  0.0000  2 Fe 2.23
Fe  0.0000  0.0000  0.0000  4 W 2.23